Record 1
A relaxed ZnCo3Bi crystal. Source: the Alexandria database, functional PBE.

POSCAR file:
```
ZnCo3Bi
1.0
4.826 0.000 0.000
0.000 4.826 0.000
0.000 0.000 4.826
Zn Co Bi
1 3 1
direct
0.000 0.000 0.000
0.000 0.500 0.500
0.500 0.000 0.500
0.500 0.500 0.000
0.500 0.500 0.500
```

formation energy from the elements	1.519	eV per atom



Record 2
A relaxed Zr3CoBi crystal. Source: the Alexandria database, functional PBE.

POSCAR file:
```
Zr3CoBi
1.0
4.875 0.000 0.000
0.000 4.875 0.000
0.000 0.000 4.875
Zr Co Bi
3 1 1
direct
0.000 0.000 0.500
0.000 0.500 0.000
0.500 0.000 0.000
0.000 0.000 0.000
0.500 0.500 0.500
```

formation energy from the elements	-0.100	eV per atom



Record 3
A relaxed Zr2Co2Bi crystal. Source: the Alexandria database, functional PBE.

POSCAR file:
```
Zr2Co2Bi
1.0
-1.743 1.743 8.147
1.743 -1.743 8.147
1.743 1.743 -8.147
Zr Co Bi
2 2 1
direct
0.134 0.134 0.000
0.866 0.866 0.000
0.250 0.750 0.500
0.750 0.250 0.500
0.500 0.500 0.000
```

formation energy from the elements	-0.052	eV per atom



Record 4
A relaxed ZrCo3Bi crystal. Source: the Alexandria database, functional PBE.

POSCAR file:
```
ZrCo3Bi
1.0
4.643 0.000 0.000
0.000 4.643 0.000
0.000 0.000 4.643
Zr Co Bi
1 3 1
direct
0.000 0.000 0.000
0.000 0.000 0.500
0.000 0.500 0.000
0.500 0.000 0.000
0.500 0.500 0.500
```

formation energy from the elements	1.165	eV per atom



Record 5
A relaxed Zr2Co2Bi crystal. Source: the Alexandria database, functional PBE.

POSCAR file:
```
Zr2Co2Bi
1.0
-2.215 2.215 4.981
2.215 -2.215 4.981
2.215 2.215 -4.981
Zr Co Bi
2 2 1
direct
0.250 0.750 0.500
0.750 0.250 0.500
0.113 0.113 0.000
0.887 0.887 0.000
0.500 0.500 0.000
```

formation energy from the elements	-0.069	eV per atom



Record 6
A relaxed ZrCoBi3 crystal. Source: the Alexandria database, functional PBE.

POSCAR file:
```
ZrCoBi3
1.0
5.103 0.000 0.000
0.000 5.103 0.000
0.000 0.000 5.103
Zr Co Bi
1 1 3
direct
0.000 0.000 0.000
0.500 0.500 0.500
0.000 0.500 0.500
0.500 0.000 0.500
0.500 0.500 0.000
```

formation energy from the elements	0.521	eV per atom



Going through the records in order, we get magnetic moment values of 4.7, 0.0, 0.3, 2.0, 0.0, 0.2 μB per cell.
Going through the records in order, we get density of states at the Fermi level values of 22.062, 3.111, 5.414, 6.378, 4.393, 4.463 states/eV/f.u..